[1]
GaPd2Au (GGA-PBE, relaxed); magnetic moment = 0.0 μB per formula unit; ΔE_f = -0.440 eV/atom; ρ = 12648 kg/m³
1.0
-1.137 -2.191 1.646
-0.168 -1.723 -2.409
6.593 -2.451 1.294
Au Ga Pd
1 1 2
Direct
0.500 0.500 0.500
0.500 0.500 0.000
0.000 0.000 0.782
0.000 0.000 0.218


[2]
RbTmCdF6 (GGA-PBE, relaxed); magnetic moment = 0.0 μB per formula unit; uncorrected formation energy = -3.19 eV per atom; ρ = 4198 kg/m³
1.0
-1.897 7.630 2.440
-4.905 0.754 -6.169
-0.979 -6.311 5.087
Rb Tm Cd F
2 2 2 12
Direct
0.822 0.572 0.643
0.178 0.428 0.357
0.500 0.000 0.500
0.000 0.000 0.500
0.500 0.500 0.000
0.500 0.000 0.000
0.416 0.666 0.832
0.805 0.055 0.611
0.831 0.078 0.261
0.430 0.683 0.261
0.430 0.078 0.261
0.831 0.683 0.261
0.584 0.334 0.168
0.195 0.945 0.389
0.169 0.922 0.739
0.570 0.317 0.739
0.570 0.922 0.739
0.169 0.317 0.739


[3]
HfS (GGA-PBE, relaxed); magnetic moment = 0.0 μB per formula unit; uncorrected formation energy = -1.49 eV per atom; ρ = 10165 kg/m³
1.0
-0.901 -2.448 -2.188
0.611 -2.354 2.382
-5.479 2.815 1.755
Hf S
2 2
Direct
0.167 0.167 0.334
0.917 0.417 0.834
0.750 0.750 0.501
0.500 0.000 0.001